Record 1
Here is a relaxed structure of ZnAsIrO from OQMD. Energies are from PBE-GGA.

abc: 3.6144 6.1628 5.5229
angles: 90.00 90.00 90.00
Last column: nearest neighbours and their distance in Å.
Atoms (fractional coordinates):
1 Zn 0.0000 0.0920 0.0000  2 O 2.04
2 Zn 0.0000 0.9080 0.5000  2 O 2.04
3 As 0.0000 0.3085 0.4827  1 Zn 2.47, 4 Ir 2.55-2.57
4 As 0.0000 0.6915 0.9827  1 Zn 2.47, 4 Ir 2.55-2.57
5 Ir 0.5000 0.4980 0.7313  2 O 2.09-2.10
6 Ir 0.5000 0.5020 0.2313  2 O 2.09-2.10
7 O 0.5000 0.2441 0.9828  2 Zn 2.04, 2 Ir 2.09-2.10
8 O 0.5000 0.7559 0.4828  2 Zn 2.04, 2 Ir 2.09-2.10

Energy above the most stable polymorph in this dataset   253 meV/atom
Mass density   9.41 Mg/m³

---

Record 2
Here is a relaxed structure of Gd3Dy3FeTe2 from OQMD. Energies are from PBE-GGA.

abc: 8.3497 8.3497 3.9781
angles: 90.00 90.00 120.00
Last column: nearest neighbours and their distance in Å.
Atoms (fractional coordinates):
1 Gd 0.0000 0.6023 0.0000  4 Te 3.24, 1 Fe 3.32, 4 Dy 3.51
2 Gd 0.3977 0.3977 0.0000  4 Te 3.24, 1 Fe 3.32, 4 Dy 3.51
3 Gd 0.6023 0.0000 0.0000  4 Te 3.24, 1 Fe 3.32, 4 Dy 3.51
4 Dy 0.0000 0.2334 0.5000  2 Fe 2.78
5 Dy 0.2334 0.0000 0.5000  2 Fe 2.78
6 Dy 0.7666 0.7666 0.5000  2 Fe 2.78
7 Fe 0.0000 0.0000 0.0000  6 Dy 2.78
8 Te 0.3333 0.6667 0.5000  6 Gd 3.24, 3 Dy 3.28
9 Te 0.6667 0.3333 0.5000  6 Gd 3.24, 3 Dy 3.28

Energy above the most stable polymorph in this dataset   0 meV/atom
Mass density   8.78 Mg/m³

---

Record 3
Here is a relaxed structure of TmCdW from OQMD. Energies are from PBE-GGA.

abc: 4.8040 4.8040 4.8040
angles: 60.00 60.00 60.00
Last column: nearest neighbours and their distance in Å.
Atoms (fractional coordinates):
1 Tm 0.0000 0.0000 0.0000  4 Cd 2.94, 4 W 2.94
2 Cd 0.7500 0.7500 0.7500  4 Tm 2.94
3 W 0.2500 0.2500 0.2500  4 Tm 2.94

Energy of formation from the pure elements   1401 meV/atom
Energy above the most stable polymorph in this dataset   291 meV/atom
Mass density   9.85 Mg/m³

---

Record 4
Here is a relaxed structure of Ag2SO4 from OQMD. Energies are from PBE-GGA.

abc: 6.2803 6.2803 6.2803
angles: 60.00 60.00 60.00
Last column: nearest neighbours and their distance in Å.
Atoms (fractional coordinates):
1 Ag 0.0000 0.0000 0.0000  6 O 2.49
2 Ag 0.0000 0.0000 0.5000  6 O 2.49
3 Ag 0.0000 0.5000 0.0000  6 O 2.49
4 Ag 0.5000 0.0000 0.0000  6 O 2.49
5 S 0.3750 0.3750 0.3750  4 O 1.49
6 S 0.6250 0.6250 0.6250  4 O 1.49
7 O 0.2780 0.2780 0.2780  1 S 1.49
8 O 0.2780 0.2780 0.6660  1 S 1.49
9 O 0.2780 0.6660 0.2780  1 S 1.49
10 O 0.3340 0.7220 0.7220  1 S 1.49
11 O 0.6660 0.2780 0.2780  1 S 1.49
12 O 0.7220 0.3340 0.7220  1 S 1.49
13 O 0.7220 0.7220 0.3340  1 S 1.49
14 O 0.7220 0.7220 0.7220  1 S 1.49

Energy above the most stable polymorph in this dataset   0 meV/atom
Mass density   5.91 Mg/m³

---

Record 5
Here is a relaxed structure of Dy4CI4Cl from OQMD. Energies are from PBE-GGA.

abc: 9.8034 9.8034 8.2098
angles: 101.59 101.59 22.93
Last column: nearest neighbours and their distance in Å.
Atoms (fractional coordinates):
1 Dy 0.0009 0.0009 0.2977  2 C 2.56
2 Dy 0.3727 0.3727 0.4364  1 C 2.39
3 Dy 0.6273 0.6273 0.5636  1 C 2.39
4 Dy 0.9991 0.9991 0.7023  2 C 2.56
5 C 0.5000 0.5000 0.5000  6 Dy 2.39-2.56
6 I 0.1612 0.1612 0.8509  3 Dy 3.03-3.10
7 I 0.1663 0.1663 0.3118  3 Dy 3.04-3.16
8 I 0.8337 0.8337 0.6882  3 Dy 3.04-3.16
9 I 0.8388 0.8388 0.1491  3 Dy 3.03-3.10
10 Cl 0.5000 0.5000 0.0000  4 Dy 3.12

Mass density   6.65 Mg/m³

---

Record 6
Here is a relaxed structure of AcHfCd from OQMD. Energies are from PBE-GGA.

abc: 5.2865 5.2865 5.2865
angles: 60.00 60.00 60.00
Last column: nearest neighbours and their distance in Å.
Atoms (fractional coordinates):
1 Ac 0.0000 0.0000 0.0000  4 Cd 3.24, 4 Hf 3.24
2 Hf 0.2500 0.2500 0.2500  4 Ac 3.24
3 Cd 0.7500 0.7500 0.7500  4 Ac 3.24

Energy of formation from the pure elements   1042 meV/atom
Energy above the most stable polymorph in this dataset   297 meV/atom
Mass density   8.23 Mg/m³

---

Number 1: E_tot -5.3478 eV per atom. Number 2: E_tot -5.3360 eV per atom. Number 3: E_tot -4.7095 eV per atom. Number 4: E_tot -5.0155 eV per atom. Number 5: E_tot -4.7516 eV per atom. Number 6: E_tot -3.9435 eV per atom.